Record 1
## Al2GePbSe6 (PBE)

Data for a geometry-optimized Al2GePbSe6 structure.

Lattice parameters (Å, degrees): 14.200 13.576 7.095 90.00 109.63 90.00
Space group C2/c (No. 15)
One atom of each set of equivalent atoms:
Al1 0.064 0.085 0.109 [8 per cell]
Ge1 0.000 0.321 0.750 [4 per cell]
Pb1 0.000 0.412 0.250 [4 per cell]
Se1 0.118 0.066 0.480 [8 per cell]
Se2 0.119 0.240 0.039 [8 per cell]
Se3 0.124 0.424 0.693 [8 per cell]

Summary:
* magnetization: 0.00 Bohr magnetons per cell
* formation energy (no corrections): -574.5 meV per atom

Record 2
## Al2TcGePb (PBE)

Data for a geometry-optimized Al2TcGePb structure.

Lattice parameters (Å, degrees): 4.754 4.754 5.627 90.00 90.00 90.00
Space group P4/mmm (No. 123)
One atom of each set of equivalent atoms:
Al1 0.000 0.500 0.000 [2 per cell]
Tc1 0.000 0.000 0.500 [1 per cell]
Ge1 0.500 0.500 0.000 [1 per cell]
Pb1 0.500 0.500 0.500 [1 per cell]

Summary:
* magnetization: 3.32 Bohr magnetons per cell
* ΔH_f (0 K): 116.96 kJ per mole of atoms

Record 3
## Al2ZnGePb (PBE)

Data for a geometry-optimized Al2ZnGePb structure.

Lattice parameters (Å, degrees): 5.434 5.434 5.064 90.00 90.00 90.00
Space group P4/mmm (No. 123)
One atom of each set of equivalent atoms:
Al1 0.000 0.500 0.000 [2 per cell]
Zn1 0.000 0.000 0.500 [1 per cell]
Ge1 0.500 0.500 0.500 [1 per cell]
Pb1 0.000 0.000 0.000 [1 per cell]

Summary:
* magnetization: 0.00 Bohr magnetons per cell
* ΔH_f (0 K): 99.06 kJ per mole of atoms

Record 4
## AlGePd2 (PBE)

Data for a geometry-optimized AlGePd2 structure.

Lattice parameters (Å, degrees): 3.092 3.092 6.392 90.00 90.00 90.00
Space group P4/mmm (No. 123)
One atom of each set of equivalent atoms:
Al1 0.000 0.000 0.000 [1 per cell]
Ge1 0.000 0.000 0.500 [1 per cell]
Pd1 0.500 0.500 0.230 [2 per cell]

Summary:
* magnetization: 0.00 Bohr magnetons per cell
* ΔH_f (0 K): -55.53 kJ per mole of atoms

Look up the magnetization of the third one.
0.00 Bohr magnetons per cell

Number 3 is which compound?
Al2ZnGePb